(1)
Material: K2CrSe
Method: DFT, PBE
State: relaxed

a = 5.2521 Å, b = 5.2521 Å, c = 4.6061 Å
α = 90.00°, β = 90.00°, γ = 107.52°
Fractional positions:
1 K 0.0000 0.5000 0.0000
2 K 0.5000 0.0000 0.0000
3 Cr 0.0000 0.0000 0.5000
4 Se 0.5000 0.5000 0.5000

space-group type: Cmmm
formation energy without anion corrections: 78 meV/atom
theoretical density: 2.87 g/cm³

---

(2)
Material: Rb3Pu2HgSe6
Method: DFT, PBE
State: relaxed

a = 7.5490 Å, b = 7.5490 Å, c = 8.2334 Å
α = 97.73°, β = 97.73°, γ = 121.88°
Fractional positions:
1 Rb 0.0000 0.0000 0.0000
2 Rb 0.3427 0.6573 0.0000
3 Rb 0.6573 0.3427 0.0000
4 Pu 0.1696 0.8304 0.5000
5 Pu 0.8304 0.1696 0.5000
6 Hg 0.5000 0.5000 0.5000
7 Se 0.0746 0.4354 0.2965
8 Se 0.2357 0.2357 0.6790
9 Se 0.4354 0.0746 0.2965
10 Se 0.5646 0.9254 0.7035
11 Se 0.7643 0.7643 0.3210
12 Se 0.9254 0.5646 0.7035

space-group type: C2/m
formation energy without anion corrections: -1125 meV/atom
theoretical density: 6.15 g/cm³

---

(3)
Material: Co2TcPt
Method: DFT, PBE
State: relaxed

a = 4.1866 Å, b = 4.1866 Å, c = 4.1866 Å
α = 60.00°, β = 60.00°, γ = 60.00°
Fractional positions:
1 Co 0.2500 0.2500 0.2500
2 Co 0.7500 0.7500 0.7500
3 Tc 0.0000 0.0000 0.0000
4 Pt 0.5000 0.5000 0.5000

distance to the lowest polymorph of the same formula: 146 meV per atom
space-group type: Fm-3m
energy relative to the elements: 0.53 eV/f.u.
theoretical density: 13.15 g/cm³

---

(4)
Material: SmHoPt2
Method: DFT, PBE
State: relaxed

a = 4.9872 Å, b = 4.9872 Å, c = 4.9872 Å
α = 60.00°, β = 60.00°, γ = 60.00°
Fractional positions:
1 Sm 0.0000 0.0000 0.0000
2 Ho 0.5000 0.5000 0.5000
3 Pt 0.2500 0.2500 0.2500
4 Pt 0.7500 0.7500 0.7500

distance to the lowest polymorph of the same formula: 79 meV per atom
space-group type: Fm-3m
energy relative to the elements: -4.65 eV/f.u.
theoretical density: 13.36 g/cm³

---

(5)
Material: PmNd3Sm7
Method: DFT, PBE
State: relaxed

a = 8.5856 Å, b = 8.5856 Å, c = 8.5856 Å
α = 139.34°, β = 96.97°, γ = 96.90°
Fractional positions:
1 Pm 0.0000 0.0000 0.0000
2 Nd 0.2908 0.7908 0.5000
3 Nd 0.5000 0.5000 0.0000
4 Nd 0.7092 0.2092 0.5000
5 Sm 0.0000 0.5000 0.5000
6 Sm 0.0970 0.3001 0.7969
7 Sm 0.2928 0.0000 0.2928
8 Sm 0.4969 0.6999 0.7969
9 Sm 0.5031 0.3001 0.2031
10 Sm 0.7072 0.0000 0.7072
11 Sm 0.9030 0.6999 0.2031

distance to the lowest polymorph of the same formula: 12 meV per atom
space-group type: Immm
energy relative to the elements: 2.51 eV/f.u.
theoretical density: 7.00 g/cm³

---

(6)
Material: NdDy8Th3
Method: DFT, PBE
State: relaxed

a = 8.3649 Å, b = 8.3649 Å, c = 8.3649 Å
α = 117.19°, β = 117.19°, γ = 94.95°
Fractional positions:
1 Nd 0.0000 0.0000 0.0000
2 Dy 0.1191 0.1191 0.7453
3 Dy 0.2261 0.2261 0.4838
4 Dy 0.2577 0.7739 0.0000
5 Dy 0.3738 0.3738 0.2547
6 Dy 0.6262 0.8809 0.0000
7 Dy 0.7423 0.7423 0.5162
8 Dy 0.7739 0.2577 0.0000
9 Dy 0.8809 0.6262 0.0000
10 Th 0.2500 0.7500 0.5000
11 Th 0.5000 0.5000 0.0000
12 Th 0.7500 0.2500 0.5000

space-group type: I-42m
energy relative to the elements: 8.88 eV/f.u.
theoretical density: 8.27 g/cm³

---

Please write out number 4 again, unchanged.
Material: SmHoPt2
Method: DFT, PBE
State: relaxed

a = 4.9872 Å, b = 4.9872 Å, c = 4.9872 Å
α = 60.00°, β = 60.00°, γ = 60.00°
Fractional positions:
1 Sm 0.0000 0.0000 0.0000
2 Ho 0.5000 0.5000 0.5000
3 Pt 0.2500 0.2500 0.2500
4 Pt 0.7500 0.7500 0.7500

distance to the lowest polymorph of the same formula: 79 meV per atom
space-group type: Fm-3m
energy relative to the elements: -4.65 eV/f.u.
theoretical density: 13.36 g/cm³

---

Q: What is the theoretical density in the third record?
A: 13.15 g/cm³

---

Q: Among the records above, which one has the highest theoretical density?
A: SmHoPt2

---

Q: Which formula does entry 5 have?
A: PmNd3Sm7